Here is a relaxed Pu4AgSe5 crystal from Alexandria. Energies are from PBE.

Total DFT energy (no corrections): -9.033 eV per atom
Density of states at the Fermi level: 35.9 states/eV/f.u.
Space group: R-3m (166)
Raw formation energy: -1.2728 eV per atom

abc: 16.7099 16.7099 16.7099
angles: 14.34 14.34 14.34
Closest atoms and distances in Å follow each position.
Positions (direct):
Pu  0.1029  0.1029  0.1029  6 Se 2.87-2.97
Pu  0.2995  0.2995  0.2995  6 Se 2.94-2.95
Pu  0.7005  0.7005  0.7005  6 Se 2.94-2.95
Pu  0.8971  0.8971  0.8971  6 Se 2.87-2.97
Ag  0.5000  0.5000  0.5000  6 Se 2.89
Se  0.0000  0.0000  0.0000  6 Pu 2.94
Se  0.1990  0.1990  0.1990  3 Pu 2.87, 3 Ag 2.89
Se  0.4014  0.4014  0.4014  6 Pu 2.95-2.97
Se  0.5986  0.5986  0.5986  6 Pu 2.95-2.97
Se  0.8010  0.8010  0.8010  3 Pu 2.87, 3 Ag 2.89

Here is a relaxed PuAg2Se3 crystal from Alexandria. Energies are from PBE.

Total DFT energy (no corrections): -5.723 eV per atom
Energy relative to the lowest polymorph listed for this composition: 0 meV per atom
Density of states at the Fermi level: 10.2 states/eV/f.u.
Space group: C2/m (12)
Raw formation energy: -0.6421 eV per atom

abc: 10.4332 10.4332 7.2030
angles: 91.87 91.87 23.55
Closest atoms and distances in Å follow each position.
Positions (direct):
Pu  0.1625  0.1625  0.4419  6 Se 2.77-2.89
Pu  0.8375  0.8375  0.5581  6 Se 2.77-2.89
Ag  0.1552  0.1552  0.9042  2 Se 2.54-2.63
Ag  0.4714  0.4714  0.6794  4 Se 2.60-2.78, 1 Ag 2.87
Ag  0.5286  0.5286  0.3206  4 Se 2.60-2.78, 1 Ag 2.87
Ag  0.8448  0.8448  0.0958  2 Se 2.54-2.63
Se  0.0698  0.0698  0.1532  3 Ag 2.54-2.60, 1 Pu 2.77
Se  0.2656  0.2656  0.7271  1 Ag 2.63, 3 Pu 2.88-2.89
Se  0.3966  0.3966  0.3500  4 Ag 2.71-2.98, 2 Pu 2.89
Se  0.6034  0.6034  0.6500  4 Ag 2.71-2.98, 2 Pu 2.89
Se  0.7344  0.7344  0.2729  1 Ag 2.63, 3 Pu 2.88-2.89
Se  0.9302  0.9302  0.8468  3 Ag 2.54-2.60, 1 Pu 2.77

Here is a relaxed PuAg2Se3 crystal from Alexandria. Energies are from PBE.

Total DFT energy (no corrections): -5.520 eV per atom
Energy relative to the lowest polymorph listed for this composition: 204 meV per atom
Density of states at the Fermi level: 11.2 states/eV/f.u.
Space group: Cmcm (63)
Raw formation energy: -0.4385 eV per atom

abc: 7.7890 7.7890 5.2834
angles: 90.00 90.00 111.03
Closest atoms and distances in Å follow each position.
Positions (direct):
Pu  0.2369  0.7631  0.7500  4 Se 2.93-3.06
Pu  0.7631  0.2369  0.2500  4 Se 2.93-3.06
Ag  0.2235  0.2235  0.0000  2 Ag 2.64, 4 Se 2.65-2.81
Ag  0.2235  0.2235  0.5000  2 Ag 2.64, 4 Se 2.65-2.81
Ag  0.7765  0.7765  0.0000  2 Ag 2.64, 4 Se 2.65-2.81
Ag  0.7765  0.7765  0.5000  2 Ag 2.64, 4 Se 2.65-2.81
Se  0.1172  0.8828  0.2500  4 Ag 2.81, 2 Pu 3.06
Se  0.1488  0.4827  0.2500  2 Ag 2.65, 1 Pu 2.93
Se  0.4827  0.1488  0.7500  2 Ag 2.65, 1 Pu 2.93
Se  0.5173  0.8512  0.2500  2 Ag 2.65, 1 Pu 2.93
Se  0.8512  0.5173  0.7500  2 Ag 2.65, 1 Pu 2.93
Se  0.8828  0.1172  0.7500  4 Ag 2.81, 2 Pu 3.06

Here is a relaxed PuAg5Se6 crystal from Alexandria. Energies are from PBE.

Total DFT energy (no corrections): -4.445 eV per atom
Density of states at the Fermi level: 13.5 states/eV/f.u.
Space group: C2/m (12)
Raw formation energy: -0.3201 eV per atom

abc: 6.8285 6.8285 6.9133
angles: 100.07 100.07 117.80
Closest atoms and distances in Å follow each position.
Positions (direct):
Pu  0.0000  0.0000  0.0000  6 Se 2.83-2.88
Ag  0.1474  0.8526  0.5000  6 Se 2.68-2.95
Ag  0.3227  0.6773  0.0000  4 Se 2.72
Ag  0.5000  0.5000  0.5000  6 Se 2.81-2.86
Ag  0.6773  0.3227  0.0000  4 Se 2.72
Ag  0.8526  0.1474  0.5000  6 Se 2.68-2.95
Se  0.0670  0.4033  0.2690  4 Ag 2.68-2.95, 1 Pu 2.83
Se  0.2816  0.2816  0.7812  5 Ag 2.72-2.86, 1 Pu 2.88
Se  0.4033  0.0670  0.2690  4 Ag 2.68-2.95, 1 Pu 2.83
Se  0.5967  0.9330  0.7310  4 Ag 2.68-2.95, 1 Pu 2.83
Se  0.7184  0.7184  0.2188  5 Ag 2.72-2.86, 1 Pu 2.88
Se  0.9330  0.5967  0.7310  4 Ag 2.68-2.95, 1 Pu 2.83

Here is a relaxed Pu2AgSe4 crystal from Alexandria. Energies are from PBE.

Total DFT energy (no corrections): -7.468 eV per atom
Density of states at the Fermi level: 16.2 states/eV/f.u.
Space group: P2_1/m (11)
Raw formation energy: -0.9745 eV per atom

abc: 6.8590 7.0551 7.8013
angles: 90.00 106.44 90.00
Closest atoms and distances in Å follow each position.
Positions (direct):
Pu  0.1911  0.2500  0.0461  6 Se 2.77-2.95
Pu  0.2104  0.2500  0.5545  6 Se 2.83-2.99
Pu  0.7896  0.7500  0.4455  6 Se 2.83-2.99
Pu  0.8089  0.7500  0.9539  6 Se 2.77-2.95
Ag  0.2582  0.7500  0.3167  4 Se 2.58-2.65
Ag  0.7418  0.2500  0.6833  4 Se 2.58-2.65
Se  0.0268  0.5163  0.7539  1 Ag 2.65, 3 Pu 2.92-2.95
Se  0.0268  0.9837  0.7539  1 Ag 2.65, 3 Pu 2.92-2.95
Se  0.4909  0.7500  0.1086  1 Ag 2.58, 2 Pu 2.78-2.84
Se  0.4961  0.7500  0.6381  1 Ag 2.58, 2 Pu 2.77-2.83
Se  0.5039  0.2500  0.3619  1 Ag 2.58, 2 Pu 2.77-2.83
Se  0.5091  0.2500  0.8914  1 Ag 2.58, 2 Pu 2.78-2.84
Se  0.9732  0.0163  0.2461  1 Ag 2.65, 3 Pu 2.92-2.95
Se  0.9732  0.4837  0.2461  1 Ag 2.65, 3 Pu 2.92-2.95

Here is a relaxed PuAg4Se4 crystal from Alexandria. Energies are from PBE.

Total DFT energy (no corrections): -4.752 eV per atom
Density of states at the Fermi level: 10.3 states/eV/f.u.
Space group: I-42m (121)
Raw formation energy: -0.3432 eV per atom

abc: 7.5840 7.5840 7.5840
angles: 129.66 129.66 73.95
Closest atoms and distances in Å follow each position.
Positions (direct):
Pu  0.0000  0.0000  0.0000  4 Se 2.70
Ag  0.0000  0.5000  0.5000  4 Se 2.74
Ag  0.2679  0.2679  0.0000  4 Se 2.66-2.82
Ag  0.5000  0.0000  0.5000  4 Se 2.74
Ag  0.7321  0.7321  0.0000  4 Se 2.66-2.82
Se  0.1196  0.6297  0.0000  4 Ag 2.66-2.82, 1 Pu 2.70
Se  0.3703  0.3703  0.4899  4 Ag 2.66-2.82, 1 Pu 2.70
Se  0.6297  0.1196  0.0000  4 Ag 2.66-2.82, 1 Pu 2.70
Se  0.8804  0.8804  0.5101  4 Ag 2.66-2.82, 1 Pu 2.70

Here is a relaxed PuAg7Se6 crystal from Alexandria. Energies are from PBE.

Total DFT energy (no corrections): -4.234 eV per atom
Density of states at the Fermi level: 14.3 states/eV/f.u.
Space group: R3 (146)
Raw formation energy: -0.2912 eV per atom

abc: 8.1208 8.1208 8.1208
angles: 54.63 54.63 54.63
Closest atoms and distances in Å follow each position.
Positions (direct):
Pu  0.0000  0.0000  0.0000  6 Se 2.87-2.88
Ag  0.1334  0.4394  0.8110  4 Se 2.67-2.90, 3 Ag 2.94-2.98
Ag  0.1944  0.8601  0.5614  4 Se 2.64-2.87, 1 Ag 2.94
Ag  0.4394  0.8110  0.1334  4 Se 2.67-2.90, 3 Ag 2.94-2.98
Ag  0.5614  0.1944  0.8601  4 Se 2.64-2.87, 1 Ag 2.94
Ag  0.6631  0.6631  0.6631  6 Se 2.88-2.91
Ag  0.8110  0.1334  0.4394  4 Se 2.67-2.90, 3 Ag 2.94-2.98
Ag  0.8601  0.5614  0.1944  4 Se 2.64-2.87, 1 Ag 2.94
Se  0.0662  0.7444  0.4044  5 Ag 2.67-2.91, 1 Pu 2.87
Se  0.2576  0.5948  0.9323  5 Ag 2.64-2.88, 1 Pu 2.88
Se  0.4044  0.0662  0.7444  5 Ag 2.67-2.91, 1 Pu 2.87
Se  0.5948  0.9323  0.2576  5 Ag 2.64-2.88, 1 Pu 2.88
Se  0.7444  0.4044  0.0662  5 Ag 2.67-2.91, 1 Pu 2.87
Se  0.9323  0.2576  0.5948  5 Ag 2.64-2.88, 1 Pu 2.88

Here is a relaxed PuAg3Se4 crystal from Alexandria. Energies are from PBE.

Total DFT energy (no corrections): -5.078 eV per atom
Energy relative to the lowest polymorph listed for this composition: 7 meV per atom
Density of states at the Fermi level: 9.4 states/eV/f.u.
Space group: Pm-3m (221)
Raw formation energy: -0.4753 eV per atom

abc: 5.6658 5.6658 5.6658
angles: 90.00 90.00 90.00
Closest atoms and distances in Å follow each position.
Positions (direct):
Pu  0.0000  0.0000  0.0000  6 Se 2.83
Ag  0.0000  0.5000  0.5000  6 Se 2.83
Ag  0.5000  0.0000  0.5000  6 Se 2.83
Ag  0.5000  0.5000  0.0000  6 Se 2.83
Se  0.0000  0.0000  0.5000  4 Ag 2.83, 2 Pu 2.83
Se  0.0000  0.5000  0.0000  4 Ag 2.83, 2 Pu 2.83
Se  0.5000  0.0000  0.0000  4 Ag 2.83, 2 Pu 2.83
Se  0.5000  0.5000  0.5000  6 Ag 2.83

> Look up the raw formation energy of the first one.

-1.2728 eV per atom